Entry 1:
A relaxed structure of KZr. Source: Alexandria via LeMat-Bulk, functional PBEsol.

The calculation puts the energy of formation from the pure elements at 259 kJ/mol of formula units.

Cell: 5.0143 6.3740 6.3740 Å, 120.00 90.00 90.00°
Sites, in units of the cell vectors:
K 0.7500 0.6667 0.3333
K 0.2500 0.3333 0.6667
Zr 0.0000 0.0000 0.0000
Zr 0.5000 0.0000 0.0000



Entry 2:
A relaxed structure of KZr. Source: Alexandria via LeMat-Bulk, functional PBEsol.

The calculation puts the energy of formation from the pure elements at 89 kJ/mol of formula units.

Cell: 3.2839 3.2839 12.7287 Å, 90.00 90.00 90.00°
Sites, in units of the cell vectors:
K 0.5000 0.0000 0.1629
K 0.0000 0.5000 0.8371
Zr 0.5000 0.0000 0.5766
Zr 0.0000 0.5000 0.4234



Entry 3:
A relaxed structure of K2Zr. Source: Alexandria via LeMat-Bulk, functional PBEsol.

The calculation puts the energy of formation from the pure elements at 230 kJ/mol of formula units.

Cell: 3.4107 8.4245 10.0607 Å, 108.08 99.76 90.00°
Sites, in units of the cell vectors:
K 0.8289 0.8631 0.6577
K 0.1045 0.5764 0.2089
K 0.1711 0.1369 0.3423
K 0.8955 0.4236 0.7911
Zr 0.4982 0.1424 0.9963
Zr 0.5018 0.8576 0.0037



| no. | volume (Å³ per cell) | magnetic moment (μB per cell) | total energy (eV per atom) |
| --- | --- | --- | --- |
| 1 | 176 | 0.00 | -3.77 |
| 2 | 137 | 0.00 | -4.65 |
| 3 | 270 | 0.65 | -2.99 |